(1)
# BiPdAu3

A geometry-optimized BiPdAu3 structure (PBE-GGA, the Alexandria database).

Lattice parameters (Å, degrees): 5.2988 5.2988 5.2988 90.00 90.00 90.00
Fractional coordinates of all 5 atoms:
Au: 0.0000 0.5000 0.0000
Au: 0.0000 0.0000 0.5000
Au: 0.5000 0.0000 0.0000
Bi: 0.0000 0.0000 0.0000
Pd: 0.5000 0.5000 0.5000

Distance to the lowest polymorph of the same formula   317 meV/atom
ΔE_f   0.88 eV per atom

---

(2)
# BiPd4Au

A geometry-optimized BiPd4Au structure (PBE-GGA, the Alexandria database).

Lattice parameters (Å, degrees): 4.0831 4.9910 6.4951 103.37 71.68 65.86
Fractional coordinates of all 6 atoms:
Bi: 0.5000 0.5000 0.5000
Pd: 0.8296 0.5009 0.8399
Pd: 0.3398 0.9937 0.3268
Pd: 0.1704 0.4991 0.1601
Pd: 0.6602 0.0063 0.6732
Au: 0.0000 0.0000 0.0000

Distance to the lowest polymorph of the same formula   7 meV/atom
ΔE_f   -0.17 eV per atom

---

(3)
# BiPd6Au23

A geometry-optimized BiPd6Au23 structure (PBE-GGA, the Alexandria database).

Lattice parameters (Å, degrees): 9.2199 9.2199 9.2199 60.00 60.00 60.00
Fractional coordinates of all 30 atoms:
Bi: 0.5000 0.5000 0.5000
Pd: 0.2536 0.7464 0.7464
Pd: 0.7464 0.2536 0.2536
Pd: 0.2536 0.7464 0.2536
Pd: 0.7464 0.2536 0.7464
Pd: 0.7464 0.7464 0.2536
Pd: 0.2536 0.2536 0.7464
Au: 0.1258 0.6227 0.1258
Au: 0.8742 0.3773 0.8742
Au: 0.6227 0.1258 0.1258
Au: 0.1258 0.1258 0.1258
Au: 0.3773 0.8742 0.8742
Au: 0.8742 0.8742 0.8742
Au: 0.1258 0.1258 0.6227
Au: 0.8742 0.8742 0.3773
Au: 0.0000 0.5000 0.5000
Au: 0.5000 0.0000 0.0000
Au: 0.0000 0.5000 0.0000
Au: 0.5000 0.0000 0.5000
Au: 0.5000 0.5000 0.0000
Au: 0.0000 0.0000 0.5000
Au: 0.3656 0.9032 0.3656
Au: 0.6344 0.0968 0.6344
Au: 0.9032 0.3656 0.3656
Au: 0.3656 0.3656 0.3656
Au: 0.0968 0.6344 0.6344
Au: 0.6344 0.6344 0.6344
Au: 0.3656 0.3656 0.9032
Au: 0.6344 0.6344 0.0968
Au: 0.0000 0.0000 0.0000

ΔE_f   0.00 eV per atom

---

(4)
# BiPd6Au2

A geometry-optimized BiPd6Au2 structure (PBE-GGA, the Alexandria database).

Lattice parameters (Å, degrees): 5.1913 8.9554 8.9554 49.62 96.84 96.84
Fractional coordinates of all 18 atoms:
Bi: 0.2500 0.2027 0.7973
Bi: 0.7500 0.7973 0.2027
Pd: 0.6484 0.5288 0.6216
Pd: 0.8516 0.3784 0.4712
Pd: 0.3516 0.4712 0.3784
Pd: 0.1484 0.6216 0.5288
Pd: 0.8826 0.9465 0.3947
Pd: 0.6174 0.6053 0.0535
Pd: 0.1174 0.0535 0.6053
Pd: 0.3826 0.3947 0.9465
Pd: 0.1478 0.7852 0.0164
Pd: 0.3522 0.9836 0.2148
Pd: 0.8522 0.2148 0.9836
Pd: 0.6478 0.0164 0.7852
Au: 0.4621 0.8028 0.6505
Au: 0.0379 0.3495 0.1972
Au: 0.5379 0.1972 0.3495
Au: 0.9621 0.6505 0.8028

Distance to the lowest polymorph of the same formula   62 meV/atom
ΔE_f   -0.07 eV per atom